A plane-wave DFT calculation with GGA-PBE was carried out for Cs2Ba2IO6 after structural relaxation.

The structure in POSCAR format:
```
Cs2Ba2IO6
1.0
3.340 -5.599 0.000
3.340 5.599 0.000
-1.770 0.000 7.045
Cs Ba I O
2 2 1 6
direct
0.163 0.837 0.000
0.837 0.163 0.000
0.338 0.662 0.500
0.662 0.338 0.500
0.000 0.000 0.500
0.042 0.306 0.658
0.202 0.202 0.327
0.306 0.042 0.658
0.694 0.958 0.342
0.798 0.798 0.673
0.958 0.694 0.342
```

Results
- total DFT energy (no corrections) (eV per atom) = -4.851
- magnetic moment (μB/atom) = 0.075
- ΔE_f (raw) (eV/atom) = -1.500
- N(E_F) (states/eV per cell) = 3.690